Density functional theory data (GGA-PBE) for a geometry-optimized TaH3Br6 structure.

Output
- DOS(E_F) (states/eV/atom) = 0.07
- E (eV/atom) = -3.3108
- symmetry = R-3m

Structure (POSCAR):
```
TaH3Br6
1.0
8.633 -0.593 0.437
0.384 8.645 0.437
-0.665 -0.593 8.619
Br H Ta
12 6 2
Cartesian
1.574 3.558 4.220
6.438 -0.140 7.316
4.368 3.900 7.394
4.639 6.296 5.272
1.915 7.597 2.176
7.765 1.046 2.176
3.985 3.558 2.098
6.779 3.900 5.272
1.171 1.046 7.979
0.588 6.412 7.316
7.182 6.412 1.513
3.713 1.162 4.219
2.278 3.625 2.588
6.276 5.603 5.335
6.074 3.833 6.903
2.077 1.855 4.156
4.494 5.604 6.903
3.858 1.854 2.589
0.000 0.000 0.000
4.176 3.729 4.746
```


Density functional theory data (GGA-PBE) for a geometry-optimized Cr4FeNiS8 structure.

Output
- raw formation energy (meV per atom) = -595
- DOS(E_F) (states/eV/atom) = 0.85
- E (eV/atom) = -6.7200
- symmetry = F-43m

Structure (POSCAR):
```
Cr4FeNiS8
1.0
6.944 0.000 0.000
-3.472 6.013 0.000
3.472 2.004 5.669
S Cr Ni Fe
8 4 1 1
Cartesian
1.736 5.011 1.338
0.108 1.942 1.373
8.680 2.931 4.279
6.879 6.051 4.279
3.364 1.942 1.373
5.208 3.007 4.385
3.537 6.051 4.279
-1.736 5.136 1.373
5.208 5.065 5.651
5.208 7.016 2.892
6.897 7.991 5.651
3.518 7.991 5.651
1.736 5.011 3.543
5.208 3.007 2.126
```


Density functional theory data (GGA-PBE) for a geometry-optimized CaAlIr2 structure.

Output
- DOS(E_F) (states/eV/atom) = 1.56
- DFT formation energy (eV per atom) = 0.004
- E (eV/atom) = -5.8625
- symmetry = F-43m

Structure (POSCAR):
```
CaAlIr2
1.0
4.583 0.000 0.000
2.291 3.969 0.000
2.291 1.323 3.742
Ca Al Ir
1 1 2
Cartesian
6.874 3.969 2.806
4.583 2.646 1.871
0.000 0.000 0.000
2.291 1.323 0.935
```


Density functional theory data (GGA-PBE) for a geometry-optimized Zr3TlSe structure.

Output
- relative energy among the computed polymorphs (eV/atom) = 0.0000
- raw formation energy (meV per atom) = -424
- DOS(E_F) (states/eV/atom) = 0.56
- E (eV/atom) = -6.7231
- symmetry = C2

Structure (POSCAR):
```
Zr3TlSe
1.0
3.400 -0.002 -0.002
-0.003 8.569 -0.275
-0.002 2.720 8.129
Zr Se Tl
6 2 2
Cartesian
2.922 9.826 6.014
1.231 3.243 7.950
2.941 7.204 4.191
2.937 6.307 0.708
1.234 4.959 2.906
2.928 4.834 5.920
1.226 2.933 4.959
1.239 7.870 2.158
2.933 2.782 1.303
1.231 7.237 6.940
```


Density functional theory data (GGA-PBE) for a geometry-optimized K2SrAlSn2 structure.

Output
- DOS(E_F) (states/eV/atom) = 1.02
- DFT formation energy (eV per atom) = -0.257
- E (eV/atom) = -2.8613
- symmetry = Pmc2_1

Structure (POSCAR):
```
K2SrAlSn2
1.0
4.905 0.000 0.000
0.000 8.381 0.000
0.000 0.000 10.013
Al Sn K Sr
2 4 4 2
Cartesian
2.453 1.276 6.612
2.453 5.467 3.401
2.453 2.495 3.961
0.000 6.162 2.046
0.000 1.972 7.967
2.453 6.686 6.052
2.453 4.279 9.094
2.453 0.089 0.919
0.000 2.820 1.525
0.000 7.010 8.488
0.000 4.303 5.438
0.000 0.113 4.575
```


Density functional theory data (GGA-PBE) for a geometry-optimized GeTeC3 structure.

Output
- relative energy among the computed polymorphs (eV/atom) = 0.3456
- raw formation energy (meV per atom) = 2886
- DOS(E_F) (states/eV/atom) = 0.78
- E (eV/atom) = -4.1998
- symmetry = Pm-3m

Structure (POSCAR):
```
GeTeC3
1.0
-1.047 3.695 -1.734
-3.807 -0.239 1.789
1.470 2.011 3.398
Te C Ge
1 3 1
Cartesian
0.000 0.000 0.000
-0.523 1.847 -0.867
0.735 1.005 1.699
-1.904 -0.120 0.894
-1.692 2.733 1.727
```


Density functional theory data (GGA-PBE) for a geometry-optimized LiTa2Ag structure.

Output
- relative energy among the computed polymorphs (eV/atom) = 0.2671
- DOS(E_F) (states/eV/atom) = 1.10
- DFT formation energy (eV per atom) = 0.414
- E (eV/atom) = -6.7033
- symmetry = P4/mmm

Structure (POSCAR):
```
LiTa2Ag
1.0
4.504 0.000 0.000
0.000 3.880 0.000
0.000 0.000 3.880
Li Ta Ag
1 2 1
Cartesian
2.252 0.000 1.940
0.000 1.940 1.940
0.000 0.000 0.000
2.252 1.940 0.000
```


Density functional theory data (GGA-PBE) for a geometry-optimized PrY2Zn6 structure.

Output
- DOS(E_F) (states/eV/atom) = 0.87
- DFT formation energy (eV per atom) = -0.372
- E (eV/atom) = -3.1885
- symmetry = P6/mmm

Structure (POSCAR):
```
PrY2Zn6
1.0
3.570 0.096 -0.151
-0.346 6.798 -3.857
0.329 -0.051 7.815
Zn Y Pr
6 2 1
Cartesian
1.781 2.322 1.259
1.885 4.504 5.183
1.773 4.521 2.549
1.898 0.031 2.559
1.998 2.288 6.440
1.656 6.812 1.249
0.104 2.232 3.925
3.449 4.611 -0.117
-0.346 6.798 -3.857
```


Density functional theory data (GGA-PBE) for a geometry-optimized LaDy2Y5Er structure.

Output
- DOS(E_F) (states/eV/atom) = 1.36
- DFT formation energy (eV per atom) = 0.273
- E (eV/atom) = -5.3950
- symmetry = I4/mcm

Structure (POSCAR):
```
LaDy2Y5Er
1.0
8.959 0.000 0.000
0.000 8.959 0.000
-4.479 -4.479 7.442
La Y Dy Er
2 10 4 2
Cartesian
0.000 0.000 3.721
4.479 4.479 3.721
4.479 4.479 0.000
2.647 -1.832 5.488
0.000 0.000 0.000
7.126 2.647 1.954
6.312 7.126 1.954
-2.647 1.832 5.488
1.832 6.312 1.954
1.832 2.647 5.488
2.647 1.832 1.954
-1.832 -2.647 5.488
5.490 1.011 0.000
3.468 7.948 0.000
1.011 3.468 0.000
7.948 5.490 0.000
0.000 4.479 3.721
4.479 0.000 3.721
```


Density functional theory data (GGA-PBE) for a geometry-optimized LiTl2P2Pt7 structure.

Output
- DOS(E_F) (states/eV/atom) = 0.30
- DFT formation energy (eV per atom) = -0.374
- E (eV/atom) = -5.3532
- symmetry = C2/m

Structure (POSCAR):
```
LiTl2P2Pt7
1.0
-1.544 -3.311 1.545
2.054 -2.180 -2.601
10.981 -5.206 8.111
Pt Tl P Li
7 2 2 1
Cartesian
2.812 -3.942 -0.530
1.012 -4.508 1.544
8.679 -6.755 7.586
0.255 -2.745 -0.528
4.492 -2.953 3.093
10.479 -6.189 5.511
6.999 -7.744 3.962
4.649 -5.737 2.470
6.842 -4.960 4.585
2.741 -2.919 1.583
8.750 -7.778 5.473
0.000 0.000 0.000
```


Density functional theory data (GGA-PBE) for a geometry-optimized TiZnFe structure.

Output
- DOS(E_F) (states/eV/atom) = 0.13
- DFT formation energy (eV per atom) = -0.201
- E (eV/atom) = -6.0777
- symmetry = I4mm

Structure (POSCAR):
```
TiZnFe
1.0
3.056 0.000 0.000
0.000 3.056 0.000
-1.528 -1.528 4.334
Fe Zn Ti
1 1 1
Cartesian
0.000 0.000 2.790
1.528 1.528 4.274
1.528 1.528 1.605
```


Density functional theory data (GGA-PBE) for a geometry-optimized Sc2OsRu structure.

Output
- DOS(E_F) (states/eV/atom) = 1.16
- DFT formation energy (eV per atom) = -0.163
- E (eV/atom) = -8.4554
- symmetry = Pm

Structure (POSCAR):
```
Sc2OsRu
1.0
-1.461 1.202 4.131
2.488 -0.967 1.161
3.133 4.197 -0.113
Sc Ru Os
2 1 1
Cartesian
5.550 3.166 1.042
0.737 1.487 2.327
3.476 3.037 2.844
2.830 1.587 0.539
```


Density functional theory data (GGA-PBE) for a geometry-optimized RbLaCu2Ir structure.

Output
- DOS(E_F) (states/eV/atom) = 0.93
- DFT formation energy (eV per atom) = 1.433
- E (eV/atom) = -3.1568
- symmetry = P4/mmm

Structure (POSCAR):
```
RbLaCu2Ir
1.0
5.024 0.000 0.000
0.000 5.240 0.000
0.000 0.000 5.024
Cu La Ir Rb
2 1 1 1
Cartesian
2.512 0.000 0.000
0.000 0.000 2.512
2.512 2.620 2.512
0.000 2.620 0.000
0.000 0.000 0.000
```


Density functional theory data (GGA-PBE) for a geometry-optimized Zn4Ag2Pt structure.

Output
- DOS(E_F) (states/eV/atom) = 0.38
- DFT formation energy (eV per atom) = 0.104
- E (eV/atom) = -2.3020
- symmetry = I4/mmm

Structure (POSCAR):
```
Zn4Ag2Pt
1.0
-0.644 -2.891 3.870
4.603 -1.552 -0.393
3.906 2.514 5.597
Ag Zn Pt
2 4 1
Cartesian
2.400 -1.187 2.581
5.464 -0.742 6.492
4.705 -2.610 4.970
3.160 0.682 4.104
-0.322 -1.446 1.935
2.302 -0.776 -0.197
0.000 0.000 0.000
```


Density functional theory data (GGA-PBE) for a geometry-optimized RbYB3 structure.

Output
- relative energy among the computed polymorphs (eV/atom) = 0.0000
- DOS(E_F) (states/eV/atom) = 1.06
- DFT formation energy (eV per atom) = 1.863
- E (eV/atom) = -3.6293
- symmetry = Pm-3m

Structure (POSCAR):
```
RbYB3
1.0
-2.051 -1.952 -4.158
4.008 -2.984 -0.576
-2.244 -3.547 2.772
Y B Rb
1 3 1
Cartesian
0.000 0.000 0.000
-1.025 -0.976 -2.079
2.004 -1.492 -0.288
-1.122 -1.774 1.386
-0.143 -4.242 -0.981
```


Density functional theory data (GGA-PBE) for a geometry-optimized K2BeAlTe structure.

Output
- raw formation energy (meV per atom) = 552
- DOS(E_F) (states/eV/atom) = 1.07
- E (eV/atom) = -2.0096
- symmetry = P4/mmm

Structure (POSCAR):
```
K2BeAlTe
1.0
6.597 0.000 0.000
0.000 5.497 0.000
0.000 0.000 6.597
Te K Be Al
1 2 1 1
Cartesian
0.000 0.000 0.000
3.299 0.000 0.000
0.000 0.000 3.299
3.299 2.749 3.299
0.000 2.749 0.000
```


Density functional theory data (GGA-PBE) for a geometry-optimized Pr2SmAl2 structure.

Output
- relative energy among the computed polymorphs (eV/atom) = 0.1675
- DOS(E_F) (states/eV/atom) = 1.19
- DFT formation energy (eV per atom) = -0.130
- E (eV/atom) = -4.4831
- symmetry = P2_1/m

Structure (POSCAR):
```
Pr2SmAl2
1.0
3.783 0.000 0.000
0.000 6.266 0.696
0.000 0.125 12.901
Pr Al Sm
4 4 2
Cartesian
0.946 1.488 7.521
2.837 4.902 6.077
2.837 0.482 1.843
0.946 5.909 11.754
0.946 2.340 12.922
2.837 1.850 5.009
0.946 4.541 8.588
2.837 4.050 0.675
2.837 3.005 10.504
0.946 3.386 3.093
```


Density functional theory data (GGA-PBE) for a geometry-optimized CsMg2Cd2 structure.

Output
- relative energy among the computed polymorphs (eV/atom) = 0.0457
- DOS(E_F) (states/eV/atom) = 0.61
- DFT formation energy (eV per atom) = 0.078
- E (eV/atom) = -1.0970
- symmetry = P4/mbm

Structure (POSCAR):
```
CsMg2Cd2
1.0
9.536 0.000 0.000
0.000 9.536 0.000
0.000 0.000 3.323
Cd Mg Cs
4 4 2
Cartesian
1.437 3.331 0.000
6.205 1.437 0.000
8.099 6.205 0.000
3.331 8.099 0.000
6.033 8.271 1.661
3.503 1.265 1.661
1.265 6.033 1.661
8.271 3.503 1.661
0.000 0.000 0.000
4.768 4.768 0.000
```


Density functional theory data (GGA-PBE) for a geometry-optimized Tb2DyPt structure.

Output
- relative energy among the computed polymorphs (eV/atom) = 0.0000
- DOS(E_F) (states/eV/atom) = 1.03
- DFT formation energy (eV per atom) = -0.709
- E (eV/atom) = -5.6847
- symmetry = Pnma

Structure (POSCAR):
```
Tb2DyPt
1.0
-4.384 0.383 -4.788
0.633 -6.933 -1.134
-7.077 -1.684 6.345
Tb Dy Pt
8 4 4
Cartesian
-4.406 -1.869 1.038
-9.098 -7.002 1.784
-10.048 -3.481 1.659
-7.372 -2.844 -0.740
-6.422 -6.365 -0.616
-0.779 -4.753 -1.237
-1.729 -1.232 -1.361
-3.456 -5.390 1.163
-6.614 -4.402 2.469
-5.278 -7.957 3.015
-4.214 -3.832 -2.046
-5.550 -0.277 -2.592
-1.749 -3.088 0.901
-3.174 -6.402 -1.568
-9.078 -5.146 -0.478
-7.654 -1.832 1.991
```


Density functional theory data (GGA-PBE) for a geometry-optimized LaInPb2 structure.

Output
- DOS(E_F) (states/eV/atom) = 0.47
- DFT formation energy (eV per atom) = -0.461
- E (eV/atom) = -4.2317
- symmetry = P4/mmm

Structure (POSCAR):
```
LaInPb2
1.0
4.896 0.000 0.000
0.000 4.895 0.000
0.000 0.000 4.915
In Pb La
1 2 1
Cartesian
2.448 0.000 2.457
2.448 2.447 0.000
0.000 0.000 0.000
0.000 2.447 2.457
```


Density functional theory data (GGA-PBE) for a geometry-optimized NaLiGePd structure.

Output
- relative energy among the computed polymorphs (eV/atom) = 0.0000
- DOS(E_F) (states/eV/atom) = 0.59
- DFT formation energy (eV per atom) = -0.351
- E (eV/atom) = -3.6120
- symmetry = Cm

Structure (POSCAR):
```
NaLiGePd
1.0
4.338 0.000 0.000
-2.169 3.755 -0.007
0.000 -2.507 4.975
Li Na Pd Ge
1 1 1 1
Cartesian
2.169 2.149 0.531
2.169 -0.358 2.552
0.000 0.892 4.534
0.000 -1.611 4.643
```


Density functional theory data (GGA-PBE) for a geometry-optimized Sm2MgSn structure.

Output
- DOS(E_F) (states/eV/atom) = 0.74
- DFT formation energy (eV per atom) = -0.397
- E (eV/atom) = -4.1557
- symmetry = C2/m

Structure (POSCAR):
```
Sm2MgSn
1.0
-0.674 -4.220 -0.118
2.261 -2.379 -5.306
7.515 0.814 5.476
Sm Sn Mg
4 2 2
Cartesian
7.275 -1.638 1.228
2.119 -2.902 -1.683
2.239 -0.834 1.215
6.859 -3.663 -1.526
4.130 -5.399 -1.264
1.814 -4.936 -4.628
6.752 -3.799 3.952
4.448 -3.346 0.938
```


Density functional theory data (GGA-PBE) for a geometry-optimized ScCoBr2 structure.

Output
- relative energy among the computed polymorphs (eV/atom) = 0.0000
- raw formation energy (meV per atom) = -661
- DOS(E_F) (states/eV/atom) = 0.60
- E (eV/atom) = -4.8572
- symmetry = C2/m

Structure (POSCAR):
```
ScCoBr2
1.0
-3.394 -0.534 -6.874
-0.890 -3.031 -7.006
-2.583 -2.661 1.330
Co Br Sc
1 2 1
Cartesian
-5.150 -4.669 -9.412
-3.855 -3.222 -12.230
-3.862 -3.456 -7.925
-1.717 -1.556 -3.137
```


Density functional theory data (GGA-PBE) for a geometry-optimized SmHo2Mg structure.

Output
- relative energy among the computed polymorphs (eV/atom) = 0.2387
- DOS(E_F) (states/eV/atom) = 1.13
- DFT formation energy (eV per atom) = 0.210
- E (eV/atom) = -3.6574
- symmetry = R-3m

Structure (POSCAR):
```
SmHo2Mg
1.0
3.450 0.000 0.000
1.725 2.988 0.000
1.725 0.996 12.267
Ho Mg Sm
2 1 1
Cartesian
1.725 0.996 9.005
5.175 2.988 3.262
0.000 0.000 0.000
3.450 1.992 6.133
```